Density functional theory data (PBEsol) for a relaxed ScSiIr crystal.

Computed properties:
Space group = No. 62
Energy relative to the elements, uncorrected = -1.190 eV/atom
Magnetization = 0.0 μB/cell
Raw total energy = -102.99 eV/cell

abc: 6.4109 4.0339 7.2524
angles: 90.00 90.00 90.00
Closest atoms and distances in Å follow each position.
Element x y z (fractional)
Sc (0.0113, 0.2500, 0.1857)  5 Si 2.77-2.84, 6 Ir 2.87-3.06
Sc (0.4887, 0.7500, 0.6857)  5 Si 2.77-2.84, 6 Ir 2.87-3.06
Sc (0.5113, 0.2500, 0.3143)  5 Si 2.77-2.84, 6 Ir 2.87-3.06
Sc (0.9887, 0.7500, 0.8143)  5 Si 2.77-2.84, 6 Ir 2.87-3.06
Si (0.2125, 0.7500, 0.3789)  4 Ir 2.43-2.45
Si (0.2875, 0.2500, 0.8789)  4 Ir 2.43-2.45
Si (0.7125, 0.7500, 0.1211)  4 Ir 2.43-2.45
Si (0.7875, 0.2500, 0.6211)  4 Ir 2.43-2.45
Ir (0.1601, 0.2500, 0.5599)  4 Si 2.43-2.45
Ir (0.3399, 0.7500, 0.0599)  4 Si 2.43-2.45
Ir (0.6601, 0.2500, 0.9401)  4 Si 2.43-2.45
Ir (0.8399, 0.7500, 0.4401)  4 Si 2.43-2.45